[1]
AlAgC | PBE | optimized geometry

Computed properties:
Its calculated formation energy is 0.350 eV per atom. Its mass density is 5.4 Mg/m³. Its space-group type is Amm2, No. 38.

Cell lengths 4.423, 3.444, 3.444 Å; angles 59.89, 90.00, 90.00 degrees
Sites, in units of the cell vectors:
Al 0.000 0.000 0.000
Ag 0.500 0.667 0.667
C 0.000 0.667 0.667


[2]
Y3Mo | PBE | optimized geometry

Computed properties:
Its calculated formation energy is 0.528 eV per atom. Its mass density is 5.7 Mg/m³. Its space-group type is Pm-3n, No. 223.

Cell lengths 5.947, 5.947, 5.947 Å; angles 90.00, 90.00, 90.00 degrees
Sites, in units of the cell vectors:
Y 0.000 0.250 0.500
Y 0.000 0.750 0.500
Y 0.250 0.500 0.000
Y 0.500 0.000 0.250
Y 0.500 0.000 0.750
Y 0.750 0.500 0.000
Mo 0.000 0.000 0.000
Mo 0.500 0.500 0.500


[3]
CdPtAu3 | PBE | optimized geometry

Computed properties:
Its calculated formation energy is -0.080 eV per atom. Its mass density is 16.6 Mg/m³. Its space-group type is Cmcm, No. 63.

Cell lengths 7.963, 7.963, 4.870 Å; angles 90.00, 90.00, 144.35 degrees
Sites, in units of the cell vectors:
Cd 0.152 0.848 0.750
Cd 0.848 0.152 0.250
Pt 0.351 0.649 0.750
Pt 0.649 0.351 0.250
Au 0.052 0.948 0.250
Au 0.251 0.749 0.250
Au 0.451 0.549 0.250
Au 0.549 0.451 0.750
Au 0.749 0.251 0.750
Au 0.948 0.052 0.750


[4]
CaTb2Al | PBE | optimized geometry

Computed properties:
Its calculated formation energy is -0.056 eV per atom. Its mass density is 5.7 Mg/m³. Its space-group type is Fm-3m, No. 225.

Cell lengths 5.402, 5.402, 5.402 Å; angles 60.00, 60.00, 60.00 degrees
Sites, in units of the cell vectors:
Ca 0.000 0.000 0.000
Tb 0.250 0.250 0.250
Tb 0.750 0.750 0.750
Al 0.500 0.500 0.500


[5]
Mg5AgSn2Pt2 | PBE | optimized geometry

Computed properties:
Its calculated formation energy is -0.387 eV per atom. Its mass density is 6.9 Mg/m³. Its space-group type is P4/mbm, No. 127.

Cell lengths 10.694, 10.694, 3.585 Å; angles 90.00, 90.00, 90.00 degrees
Sites, in units of the cell vectors:
Mg 0.000 0.500 0.000
Mg 0.058 0.204 0.000
Mg 0.204 0.942 0.000
Mg 0.296 0.442 0.000
Mg 0.442 0.704 0.000
Mg 0.500 0.000 0.000
Mg 0.558 0.296 0.000
Mg 0.704 0.558 0.000
Mg 0.796 0.058 0.000
Mg 0.942 0.796 0.000
Ag 0.000 0.000 0.500
Ag 0.500 0.500 0.500
Sn 0.176 0.676 0.500
Sn 0.324 0.176 0.500
Sn 0.676 0.824 0.500
Sn 0.824 0.324 0.500
Pt 0.131 0.369 0.500
Pt 0.369 0.869 0.500
Pt 0.631 0.131 0.500
Pt 0.869 0.631 0.500


[6]
BeFeRe2 | PBE | optimized geometry

Computed properties:
Its calculated formation energy is 0.146 eV per atom. Its mass density is 14.0 Mg/m³. Its space-group type is C2/m, No. 12.

Cell lengths 4.487, 4.487, 4.583 Å; angles 100.81, 100.81, 34.89 degrees
Sites, in units of the cell vectors:
Be 0.000 0.000 0.000
Fe 0.500 0.500 0.500
Re 0.250 0.250 0.751
Re 0.750 0.750 0.249


[7]
MnBeZn2 | PBE | optimized geometry

Computed properties:
Its calculated formation energy is 0.063 eV per atom. Its mass density is 6.5 Mg/m³. Its space-group type is Pm, No. 6.

Cell lengths 2.622, 3.773, 5.170 Å; angles 90.00, 104.63, 90.00 degrees
Sites, in units of the cell vectors:
Mn 0.000 0.000 0.000
Be 0.411 0.500 0.819
Zn 0.268 0.000 0.540
Zn 0.641 0.500 0.285


[8]
Ce2ThZn2Ge2 | PBE | optimized geometry

Computed properties:
Its calculated formation energy is -0.384 eV per atom. Its mass density is 8.6 Mg/m³. Its space-group type is R-3m, No. 166.

Cell lengths 9.768, 9.768, 9.768 Å; angles 25.49, 25.49, 25.49 degrees
Sites, in units of the cell vectors:
Ce 0.142 0.142 0.142
Ce 0.858 0.858 0.858
Th 0.000 0.000 0.000
Zn 0.408 0.408 0.408
Zn 0.592 0.592 0.592
Ge 0.263 0.263 0.263
Ge 0.737 0.737 0.737